The following is a PBE calculation of Se3Br after structural relaxation, from Alexandria.

Summary:
formation energy from raw total energies: 312 meV per atom
mass density: 4.22 g/cm³
total energy: -2.720 eV per atom

Unit cell a=9.000 b=9.000 c=9.000 alpha=155.57 beta=155.57 gamma=34.82
Atoms (fractional coordinates):
Se 0.250 0.750 0.500
Se 0.750 0.250 0.500
Se 0.500 0.500 0.000
Br 0.000 0.000 0.000

The following is a PBE calculation of Tb2Dy6Tm3Pu after structural relaxation, from Alexandria.

Summary:
energy relative to the elements: 0.045 eV/atom
mass density: 9.20 g/cm³
total energy: -5.340 eV per atom

Unit cell a=6.098 b=6.098 c=11.634 alpha=95.03 beta=95.03 gamma=120.01
Atoms (fractional coordinates):
Tb 0.333 0.667 0.000
Tb 0.667 0.333 0.000
Dy 0.917 0.587 0.750
Dy 0.753 0.753 0.250
Dy 0.083 0.413 0.250
Dy 0.587 0.917 0.750
Dy 0.247 0.247 0.750
Dy 0.413 0.083 0.250
Tm 0.167 0.833 0.500
Tm 0.833 0.167 0.500
Tm 0.500 0.500 0.500
Pu 0.000 0.000 0.000

The following is a PBE calculation of NdBC after structural relaxation, from Alexandria.

Summary:
energy relative to the elements: -0.365 eV/atom
mass density: 6.28 g/cm³
total energy: -7.255 eV per atom

Unit cell a=8.450 b=8.482 c=12.325 alpha=90.00 beta=90.00 gamma=90.00
Atoms (fractional coordinates):
Nd 0.841 0.093 0.096
Nd 0.450 0.903 0.141
Nd 0.256 0.711 0.675
Nd 0.340 0.009 0.421
Nd 0.744 0.211 0.825
Nd 0.563 0.802 0.867
Nd 0.244 0.289 0.175
Nd 0.840 0.491 0.579
Nd 0.437 0.302 0.633
Nd 0.341 0.407 0.904
Nd 0.159 0.593 0.404
Nd 0.937 0.198 0.367
Nd 0.063 0.698 0.133
Nd 0.659 0.907 0.596
Nd 0.050 0.097 0.641
Nd 0.756 0.789 0.325
Nd 0.160 0.991 0.921
Nd 0.550 0.403 0.359
Nd 0.660 0.509 0.079
Nd 0.950 0.597 0.859
B 0.061 0.297 0.821
B 0.518 0.612 0.541
B 0.116 0.397 0.713
B 0.682 0.192 0.508
B 0.405 0.023 0.740
B 0.182 0.308 0.492
B 0.384 0.603 0.213
B 0.482 0.112 0.959
B 0.884 0.897 0.787
B 0.982 0.388 0.041
B 0.095 0.977 0.240
B 0.616 0.103 0.287
B 0.018 0.888 0.459
B 0.939 0.797 0.679
B 0.595 0.523 0.760
B 0.818 0.808 0.008
B 0.439 0.703 0.321
B 0.905 0.477 0.260
B 0.561 0.203 0.179
B 0.318 0.692 0.992
C 0.477 0.695 0.439
C 0.145 0.397 0.593
C 0.855 0.497 0.374
C 0.245 0.298 0.381
C 0.755 0.798 0.119
C 0.556 0.610 0.658
C 0.056 0.890 0.342
C 0.645 0.103 0.407
C 0.977 0.805 0.561
C 0.145 0.997 0.126
C 0.255 0.702 0.881
C 0.944 0.390 0.158
C 0.355 0.603 0.093
C 0.523 0.195 0.061
C 0.855 0.897 0.907
C 0.023 0.305 0.939
C 0.645 0.503 0.874
C 0.745 0.202 0.619
C 0.444 0.110 0.842
C 0.355 0.003 0.626

The following is a PBE calculation of MnNbRu3 after structural relaxation, from Alexandria.

Summary:
energy relative to the elements: 1.043 eV/atom
mass density: 8.96 g/cm³
total energy: -8.370 eV per atom

Unit cell a=4.373 b=4.373 c=4.373 alpha=90.00 beta=90.00 gamma=90.00
Atoms (fractional coordinates):
Ru 0.000 0.500 0.000
Ru 0.000 0.000 0.500
Ru 0.500 0.000 0.000
Nb 0.500 0.500 0.500
Mn 0.000 0.000 0.000

The following is a PBE calculation of ErPa2Sn after structural relaxation, from Alexandria.

Summary:
energy relative to the elements: -0.204 eV/atom
mass density: 12.29 g/cm³
total energy: -7.093 eV per atom

Unit cell a=5.140 b=4.434 c=4.434 alpha=90.00 beta=90.00 gamma=90.00
Atoms (fractional coordinates):
Pa 0.000 0.000 0.500
Pa 0.000 0.500 0.000
Sn 0.500 0.000 0.000
Er 0.500 0.500 0.500

The following is a PBE calculation of TbNdCu2 after structural relaxation, from Alexandria.

Summary:
energy relative to the elements: -0.193 eV/atom
mass density: 8.08 g/cm³
total energy: -4.591 eV per atom

Unit cell a=3.525 b=3.525 c=7.116 alpha=90.00 beta=90.00 gamma=90.00
Atoms (fractional coordinates):
Nd 0.500 0.500 0.500
Tb 0.500 0.500 0.000
Cu 0.000 0.000 0.768
Cu 0.000 0.000 0.232

The following is a PBE calculation of ZrAlRh after structural relaxation, from Alexandria.

Summary:
energy relative to the elements: -0.764 eV/atom
mass density: 6.91 g/cm³
total energy: -7.311 eV per atom

Unit cell a=4.053 b=4.053 c=7.075 alpha=106.64 beta=106.64 gamma=90.00
Atoms (fractional coordinates):
Rh 0.124 0.124 0.249
Rh 0.876 0.876 0.751
Al 0.000 0.500 0.000
Al 0.500 0.000 0.000
Zr 0.676 0.676 0.351
Zr 0.324 0.324 0.649

The following is a PBE calculation of Zn3TeCl after structural relaxation, from Alexandria.

Summary:
formation energy from raw total energies: 153 meV per atom
mass density: 3.63 g/cm³
total energy: -1.609 eV per atom

Unit cell a=5.475 b=5.475 c=5.475 alpha=90.00 beta=90.00 gamma=90.00
Atoms (fractional coordinates):
Zn 0.000 0.500 0.000
Zn 0.000 0.000 0.500
Zn 0.500 0.000 0.000
Te 0.000 0.000 0.000
Cl 0.500 0.500 0.500